Record 1
VASP calculation (SCAN) on a PBEsol-optimized structure of SbRu2Au.

abc: 3.0047 3.0047 8.4996
angles: 79.82 79.82 60.00
Element x y z (fractional)
Sb: 0.5000 0.5000 0.5000
Ru: 0.7543 0.7543 0.7371
Ru: 0.2457 0.2457 0.2629
Au: 0.0000 0.0000 0.0000

* space-group type: R-3m (166)
* formation energy (no corrections): 0.36 eV/atom
* uncorrected energy: -43.65 eV/atom
* crystal system: trigonal

Record 2
VASP calculation (SCAN) on a PBEsol-optimized structure of SbRu2Au.

abc: 2.9968 4.0313 5.5357
angles: 90.00 103.85 90.00
Element x y z (fractional)
Ru: 0.1129 0.0000 0.7528
Sb: 0.5000 0.5000 0.0000
Ru: 0.8871 0.0000 0.2472
Au: 0.5000 0.5000 0.5000

* space-group type: P2/m (10)
* formation energy (no corrections): 0.34 eV/atom
* uncorrected energy: -43.68 eV/atom
* crystal system: monoclinic